[1]
Computed, not measured: crystalline Pm3Mg3Hg2 at its relaxed geometry at the GGA-PBE level of DFT.

Lattice parameters (Å, degrees): 8.698 17.119 5.873 90.00 90.00 90.00
Space group Pnma (No. 62)
Inequivalent atoms, fractional coordinates:
Pm1 0.040 0.109 0.112 (multiplicity 8)
Pm2 0.154 0.250 0.671 (multiplicity 4)
Mg1 0.178 0.750 0.676 (multiplicity 4)
Mg2 0.182 0.033 0.603 (multiplicity 8)
Hg1 0.110 0.617 0.384 (multiplicity 8)

Summary:
crystal system: orthorhombic
N(E_F): 0.9624 states/eV/atom
energy of formation from the pure elements: -230 meV/atom
relative energy among the computed polymorphs: 5 meV/atom
M_tot: 0.00 Bohr magnetons per cell
E: -2.685 eV per atom
density: 6.91 g/cm3

[2]
Computed, not measured: crystalline PmMgHg2 at its relaxed geometry at the GGA-PBE level of DFT.

Lattice parameters (Å, degrees): 5.118 5.118 3.832 90.00 90.00 90.00
Space group P4/mmm (No. 123)
Inequivalent atoms, fractional coordinates:
Pm1 0.000 0.000 0.000 (multiplicity 1)
Mg1 0.500 0.500 0.000 (multiplicity 1)
Hg1 0.000 0.500 0.500 (multiplicity 2)

Summary:
crystal system: tetragonal
N(E_F): 0.5041 states/eV/atom
energy of formation from the pure elements: -375 meV/atom
relative energy among the computed polymorphs: 95 meV/atom
M_tot: 0.00 Bohr magnetons per cell
E: -2.112 eV per atom
density: 9.44 g/cm3

[3]
Computed, not measured: crystalline Pm3Mg4Hg4 at its relaxed geometry at the GGA-PBE level of DFT.

Lattice parameters (Å, degrees): 4.532 7.878 15.556 90.00 90.00 90.00
Space group Immm (No. 71)
Inequivalent atoms, fractional coordinates:
Pm1 0.000 0.000 0.000 (multiplicity 2)
Pm2 0.000 0.500 0.117 (multiplicity 4)
Mg1 0.000 0.307 0.326 (multiplicity 8)
Hg1 0.000 0.000 0.224 (multiplicity 4)
Hg2 0.000 0.200 0.500 (multiplicity 4)

Summary:
crystal system: orthorhombic
N(E_F): 1.0090 states/eV/atom
energy of formation from the pure elements: -356 meV/atom
M_tot: 0.00 Bohr magnetons per cell
E: -2.341 eV per atom
density: 7.98 g/cm3

[4]
Computed, not measured: crystalline PmMg4Hg8 at its relaxed geometry at the GGA-PBE level of DFT.

Lattice parameters (Å, degrees): 9.781 9.781 6.228 90.00 90.00 90.00
Space group I4/mmm (No. 139)
Inequivalent atoms, fractional coordinates:
Pm1 0.000 0.000 0.000 (multiplicity 2)
Mg1 0.250 0.250 0.250 (multiplicity 8)
Hg1 0.000 0.217 0.500 (multiplicity 8)
Hg2 0.000 0.336 0.000 (multiplicity 8)

Summary:
crystal system: tetragonal
N(E_F): 0.3174 states/eV/atom
energy of formation from the pure elements: -225 meV/atom
M_tot: 0.00 Bohr magnetons per cell
E: -1.266 eV per atom
density: 10.29 g/cm3

[5]
Computed, not measured: crystalline Pm4MgHg at its relaxed geometry at the GGA-PBE level of DFT.

Lattice parameters (Å, degrees): 7.303 7.303 7.800 90.00 90.01 90.00
Space group Cm (No. 8)
Inequivalent atoms, fractional coordinates:
Pm1 0.000 0.250 0.000 (multiplicity 4)
Pm2 0.000 0.250 0.481 (multiplicity 4)
Mg1 0.250 0.000 0.740 (multiplicity 2)
Hg1 0.250 0.500 0.240 (multiplicity 2)

Summary:
crystal system: monoclinic
N(E_F): 1.6300 states/eV/atom
energy of formation from the pure elements: 132 meV/atom
M_tot: 0.00 Bohr magnetons per cell
E: -3.351 eV per atom
density: 6.43 g/cm3

[6]
Computed, not measured: crystalline PmMg2Hg6 at its relaxed geometry at the GGA-PBE level of DFT.

Lattice parameters (Å, degrees): 8.732 5.046 9.876 90.00 90.07 90.00
Space group C2/m (No. 12)
Inequivalent atoms, fractional coordinates:
Pm1 0.000 0.000 0.000 (multiplicity 2)
Mg1 0.166 0.500 0.774 (multiplicity 4)
Hg1 0.000 0.000 0.325 (multiplicity 4)
Hg2 0.167 0.500 0.131 (multiplicity 4)
Hg3 0.167 0.500 0.448 (multiplicity 4)

Summary:
crystal system: monoclinic
N(E_F): 0.3694 states/eV/atom
energy of formation from the pure elements: -219 meV/atom
M_tot: 0.00 Bohr magnetons per cell
E: -1.302 eV per atom
density: 10.66 g/cm3

[7]
Computed, not measured: crystalline PmMg9Hg2 at its relaxed geometry at the GGA-PBE level of DFT.

Lattice parameters (Å, degrees): 12.079 12.079 7.672 90.00 90.00 90.00
Space group I4_1/amd (No. 141, origin choice 2)
Inequivalent atoms, fractional coordinates:
Pm1 0.000 0.250 0.375 (multiplicity 4)
Mg1 0.000 0.250 0.875 (multiplicity 4)
Mg2 0.121 0.050 0.677 (multiplicity 32)
Hg1 0.000 0.000 0.000 (multiplicity 8)

Summary:
crystal system: tetragonal
N(E_F): 0.4917 states/eV/atom
energy of formation from the pure elements: -134 meV/atom
M_tot: 0.00 Bohr magnetons per cell
E: -1.776 eV per atom
density: 4.54 g/cm3

[8]
Computed, not measured: crystalline Pm4Mg3Hg at its relaxed geometry at the GGA-PBE level of DFT.

Lattice parameters (Å, degrees): 3.861 3.861 15.311 90.00 90.00 90.00
Space group P4/mmm (No. 123)
Inequivalent atoms, fractional coordinates:
Pm1 0.000 0.000 0.122 (multiplicity 2)
Pm2 0.000 0.000 0.373 (multiplicity 2)
Mg1 0.500 0.500 0.250 (multiplicity 2)
Mg2 0.500 0.500 0.500 (multiplicity 1)
Hg1 0.500 0.500 0.000 (multiplicity 1)

Summary:
crystal system: tetragonal
N(E_F): 1.3381 states/eV/atom
energy of formation from the pure elements: -195 meV/atom
M_tot: 0.00 Bohr magnetons per cell
E: -3.206 eV per atom
density: 6.21 g/cm3

[9]
Computed, not measured: crystalline Pm6MgHg3 at its relaxed geometry at the GGA-PBE level of DFT.

Lattice parameters (Å, degrees): 9.412 5.422 11.927 90.00 107.95 90.00
Space group P2_1/m (No. 11)
Inequivalent atoms, fractional coordinates:
Pm1 0.030 0.250 0.406 (multiplicity 2)
Pm2 0.154 0.750 0.185 (multiplicity 2)
Pm3 0.240 0.250 0.002 (multiplicity 2)
Pm4 0.345 0.750 0.804 (multiplicity 2)
Pm5 0.369 0.250 0.343 (multiplicity 2)
Pm6 0.404 0.250 0.620 (multiplicity 2)
Mg1 0.456 0.750 0.092 (multiplicity 2)
Hg1 0.042 0.750 0.884 (multiplicity 2)
Hg2 0.133 0.250 0.721 (multiplicity 2)
Hg3 0.273 0.750 0.476 (multiplicity 2)

Summary:
crystal system: monoclinic
N(E_F): 1.1482 states/eV/atom
energy of formation from the pure elements: -265 meV/atom
M_tot: 0.00 Bohr magnetons per cell
E: -3.366 eV per atom
density: 8.58 g/cm3

[10]
Computed, not measured: crystalline Pm4MgHg7 at its relaxed geometry at the GGA-PBE level of DFT.

Lattice parameters (Å, degrees): 15.716 5.393 9.269 90.00 123.92 90.00
Space group C2/m (No. 12)
Inequivalent atoms, fractional coordinates:
Pm1 0.070 0.000 0.250 (multiplicity 4)
Pm2 0.237 0.000 0.760 (multiplicity 4)
Mg1 0.000 0.500 0.500 (multiplicity 2)
Hg1 0.000 0.000 0.500 (multiplicity 2)
Hg2 0.054 0.500 0.871 (multiplicity 4)
Hg3 0.179 0.000 0.038 (multiplicity 4)
Hg4 0.188 0.500 0.506 (multiplicity 4)

Summary:
crystal system: monoclinic
N(E_F): 0.6538 states/eV/atom
energy of formation from the pure elements: -347 meV/atom
M_tot: 0.00 Bohr magnetons per cell
E: -2.240 eV per atom
density: 10.23 g/cm3

[11]
Computed, not measured: crystalline Pm3Mg2Hg at its relaxed geometry at the GGA-PBE level of DFT.

Lattice parameters (Å, degrees): 3.862 3.862 11.430 90.00 90.00 90.00
Space group P4/mmm (No. 123)
Inequivalent atoms, fractional coordinates:
Pm1 0.000 0.000 0.000 (multiplicity 1)
Pm2 0.000 0.000 0.337 (multiplicity 2)
Mg1 0.500 0.500 0.165 (multiplicity 2)
Hg1 0.500 0.500 0.500 (multiplicity 1)

Summary:
crystal system: tetragonal
N(E_F): 1.2336 states/eV/atom
energy of formation from the pure elements: -227 meV/atom
M_tot: 0.58 Bohr magnetons per cell
E: -3.184 eV per atom
density: 6.66 g/cm3

[12]
Computed, not measured: crystalline Pm2Mg2Hg3 at its relaxed geometry at the GGA-PBE level of DFT.

Lattice parameters (Å, degrees): 3.724 27.212 3.598 90.00 90.00 90.00
Space group Cmmm (No. 65)
Inequivalent atoms, fractional coordinates:
Pm1 0.000 0.074 0.000 (multiplicity 4)
Mg1 0.000 0.205 0.000 (multiplicity 4)
Hg1 0.000 0.351 0.500 (multiplicity 4)
Hg2 0.000 0.500 0.500 (multiplicity 2)

Summary:
crystal system: orthorhombic
N(E_F): 0.9028 states/eV/atom
energy of formation from the pure elements: -290 meV/atom
M_tot: 1.09 Bohr magnetons per cell
E: -2.232 eV per atom
density: 8.56 g/cm3

[13]
Computed, not measured: crystalline Pm2MgHg4 at its relaxed geometry at the GGA-PBE level of DFT.

Lattice parameters (Å, degrees): 5.0759 5.0759 25.6437 90.00 90.00 120.00
Space group R-3m (No. 166, hexagonal axes)
Inequivalent atoms, fractional coordinates:
Pm1 0.0000 0.0000 0.2502 (multiplicity 6)
Mg1 0.0000 0.0000 0.0000 (multiplicity 3)
Hg1 0.0000 0.0000 0.1276 (multiplicity 6)
Hg2 0.0000 0.0000 0.3746 (multiplicity 6)

Summary:
crystal system: trigonal
N(E_F): 0.5761 states/eV/atom
energy of formation from the pure elements: -352 meV/atom
relative energy among the computed polymorphs: 0 meV/atom
M_tot: 0.00 Bohr magnetons per cell
E: -2.109 eV per atom
density: 9.72 g/cm3

[14]
Computed, not measured: crystalline PmMg4Hg2 at its relaxed geometry at the GGA-PBE level of DFT.

Lattice parameters (Å, degrees): 4.406 17.584 4.388 90.00 90.00 90.00
Space group Cmmm (No. 65)
Inequivalent atoms, fractional coordinates:
Pm1 0.000 0.000 0.000 (multiplicity 2)
Mg1 0.000 0.182 0.500 (multiplicity 4)
Mg2 0.000 0.316 0.000 (multiplicity 4)
Hg1 0.000 0.419 0.500 (multiplicity 4)

Summary:
crystal system: orthorhombic
N(E_F): 0.4589 states/eV/atom
energy of formation from the pure elements: -225 meV/atom
relative energy among the computed polymorphs: 34 meV/atom
M_tot: 0.00 Bohr magnetons per cell
E: -1.901 eV per atom
density: 6.29 g/cm3

[15]
Computed, not measured: crystalline PmMgHg3 at its relaxed geometry at the GGA-PBE level of DFT.

Lattice parameters (Å, degrees): 18.894 5.475 5.254 90.00 104.82 90.00
Space group C2/m (No. 12)
Inequivalent atoms, fractional coordinates:
Pm1 0.109 0.000 0.374 (multiplicity 4)
Mg1 0.125 0.500 0.883 (multiplicity 4)
Hg1 0.030 0.500 0.279 (multiplicity 4)
Hg2 0.199 0.000 0.955 (multiplicity 4)
Hg3 0.207 0.500 0.461 (multiplicity 4)

Summary:
crystal system: monoclinic
N(E_F): 0.3486 states/eV/atom
energy of formation from the pure elements: -204 meV/atom
M_tot: 0.00 Bohr magnetons per cell
E: -1.654 eV per atom
density: 9.75 g/cm3

[16]
Computed, not measured: crystalline Pm3Mg3Hg2 at its relaxed geometry at the GGA-PBE level of DFT.

Lattice parameters (Å, degrees): 4.842 11.032 16.342 90.00 90.00 90.00
Space group Cmcm (No. 63)
Inequivalent atoms, fractional coordinates:
Pm1 0.000 0.070 0.113 (multiplicity 8)
Pm2 0.000 0.336 0.250 (multiplicity 4)
Mg1 0.000 0.369 0.036 (multiplicity 8)
Mg2 0.000 0.372 0.750 (multiplicity 4)
Hg1 0.000 0.216 0.612 (multiplicity 8)

Summary:
crystal system: orthorhombic
N(E_F): 1.0808 states/eV/atom
energy of formation from the pure elements: -235 meV/atom
relative energy among the computed polymorphs: 0 meV/atom
M_tot: 0.00 Bohr magnetons per cell
E: -2.690 eV per atom
density: 6.92 g/cm3

[17]
Computed, not measured: crystalline PmMg4Hg2 at its relaxed geometry at the GGA-PBE level of DFT.

Lattice parameters (Å, degrees): 8.446 8.446 4.650 90.00 90.00 90.00
Space group P4_2/mnm (No. 136)
Inequivalent atoms, fractional coordinates:
Pm1 0.000 0.000 0.000 (multiplicity 2)
Mg1 0.094 0.343 0.500 (multiplicity 8)
Hg1 0.214 0.786 0.500 (multiplicity 4)

Summary:
crystal system: tetragonal
N(E_F): 0.6084 states/eV/atom
energy of formation from the pure elements: -259 meV/atom
relative energy among the computed polymorphs: 0 meV/atom
M_tot: 0.00 Bohr magnetons per cell
E: -1.935 eV per atom
density: 6.44 g/cm3

[18]
Computed, not measured: crystalline Pm4MgHg2 at its relaxed geometry at the GGA-PBE level of DFT.

Lattice parameters (Å, degrees): 7.831 10.565 5.133 90.00 90.00 90.00
Space group Cmmm (No. 65)
Inequivalent atoms, fractional coordinates:
Pm1 0.230 0.000 0.000 (multiplicity 4)
Pm2 0.250 0.250 0.500 (multiplicity 4)
Mg1 0.000 0.500 0.500 (multiplicity 2)
Hg1 0.000 0.269 0.000 (multiplicity 4)

Summary:
crystal system: orthorhombic
N(E_F): 1.4214 states/eV/atom
energy of formation from the pure elements: -205 meV/atom
relative energy among the computed polymorphs: 0 meV/atom
M_tot: 0.01 Bohr magnetons per cell
E: -3.234 eV per atom
density: 7.86 g/cm3

[19]
Computed, not measured: crystalline Pm3Mg2Hg7 at its relaxed geometry at the GGA-PBE level of DFT.

Lattice parameters (Å, degrees): 5.037 29.951 4.066 90.00 90.00 90.00
Space group Cmmm (No. 65)
Inequivalent atoms, fractional coordinates:
Pm1 0.000 0.000 0.000 (multiplicity 2)
Pm2 0.000 0.184 0.000 (multiplicity 4)
Mg1 0.000 0.363 0.500 (multiplicity 4)
Hg1 0.000 0.091 0.500 (multiplicity 4)
Hg2 0.000 0.274 0.500 (multiplicity 4)
Hg3 0.000 0.426 0.000 (multiplicity 4)
Hg4 0.000 0.500 0.500 (multiplicity 2)

Summary:
crystal system: orthorhombic
N(E_F): 0.6480 states/eV/atom
energy of formation from the pure elements: -289 meV/atom
M_tot: 0.00 Bohr magnetons per cell
E: -1.919 eV per atom
density: 10.22 g/cm3

[20]
Computed, not measured: crystalline Pm2MgHg3 at its relaxed geometry at the GGA-PBE level of DFT.

Lattice parameters (Å, degrees): 5.1886 5.1886 13.1605 90.00 90.00 120.00
Space group P-3m1 (No. 164)
Inequivalent atoms, fractional coordinates:
Pm1 0.0000 0.0000 0.0000 (multiplicity 1)
Pm2 0.0000 0.0000 0.5000 (multiplicity 1)
Pm3 0.3333 0.6667 0.1832 (multiplicity 2)
Mg1 0.3333 0.6667 0.6612 (multiplicity 2)
Hg1 0.0000 0.0000 0.2567 (multiplicity 2)
Hg2 0.3333 0.6667 0.4206 (multiplicity 2)
Hg3 0.3333 0.6667 0.9106 (multiplicity 2)

Summary:
crystal system: trigonal
N(E_F): 0.6569 states/eV/atom
energy of formation from the pure elements: -466 meV/atom
relative energy among the computed polymorphs: 0 meV/atom
M_tot: 0.00 Bohr magnetons per cell
E: -2.466 eV per atom
density: 9.92 g/cm3